Entry 1:
The following is a PBE calculation of an optimized crystal structure of SrPrMgAl, from Alexandria via LeMat-Bulk.

Output
Calculated total energy ... -0.1132 hartree per atom

Cell lengths 7.8441, 7.8441, 7.8441 Å; angles 90.00, 90.00, 90.00 degrees
Last column: nearest neighbours and their distance in Å.
Space group F-43m (No. 216)
One atom of each set of equivalent atoms:
Sr 0.0000 0.0000 0.0000 (multiplicity 4)  4 Al 3.40, 4 Mg 3.40
Pr 0.0000 0.0000 0.5000 (multiplicity 4)  4 Mg 3.40, 4 Al 3.40
Mg 0.2500 0.2500 0.2500 (multiplicity 4)  4 Sr 3.40, 4 Pr 3.40
Al 0.2500 0.2500 0.7500 (multiplicity 4)  4 Pr 3.40, 4 Sr 3.40

***

Entry 2:
The following is a PBE calculation of an optimized crystal structure of RbHgPdS2, from Alexandria via LeMat-Bulk.

Output
Formation energy without anion corrections ... -0.419 eV/atom
Relative energy among the computed polymorphs ... 0.0000 eV/atom

Cell lengths 7.2983, 4.7816, 7.5911 Å; angles 90.00, 97.60, 90.00 degrees
Last column: nearest neighbours and their distance in Å.
Space group P2/c (No. 13)
One atom of each set of equivalent atoms:
Rb 0.0000 0.1363 0.2500 (multiplicity 2)  6 S 3.34-3.50
Hg 0.5000 0.0000 0.0000 (multiplicity 2)  2 S 2.42
Pd 0.5000 0.4994 0.2500 (multiplicity 2)  4 S 2.54
S 0.2802 0.3829 0.9716 (multiplicity 4)  1 Hg 2.42, 2 Pd 2.54

***

Entry 3:
The following is a PBE calculation of an optimized crystal structure of Gd2MgOs, from Alexandria via LeMat-Bulk.

Output
Calculated total energy ... -0.3775 hartree per atom

Cell lengths 4.9564, 4.9564, 3.6875 Å; angles 90.00, 90.00, 90.00 degrees
Last column: nearest neighbours and their distance in Å.
Space group P4/mmm (No. 123)
One atom of each set of equivalent atoms:
Gd 0.0000 0.5000 0.0000 (multiplicity 2)  4 Os 3.09, 4 Mg 3.09
Mg 0.0000 0.0000 0.5000 (multiplicity 1)  8 Gd 3.09
Os 0.5000 0.5000 0.5000 (multiplicity 1)  8 Gd 3.09